VASP calculation (PBE) on crystalline PuTh2C2 at its relaxed geometry.

DFT total energy	-9.623	eV/atom
V	20.9	Å³ per atom
energy of formation	-0.0987	eV per atom
SG	Immm (71)
theoretical density	11.6	g cm⁻³

Cell: 3.6357 5.2959 6.3018 Å, 114.85 106.77 90.00°
Each line ends with the local moment (μB).
Fractional coordinates of all 5 atoms:
Th 0.3295 0.3295 0.6590  0.11
Th 0.6705 0.6705 0.3410  0.11
C 0.6666 0.1666 0.3332  -0.07
C 0.3334 0.8334 0.6668  -0.07
Pu 0.0000 0.0000 0.0000  5.00

***

VASP calculation (PBE) on crystalline Pu3ThC at its relaxed geometry.

DFT total energy	-11.713	eV/atom
V	23.7	Å³ per atom
energy of formation	0.2154	eV per atom
SG	Pm-3m (221)
theoretical density	13.7	g cm⁻³

Cell: 4.9120 4.9120 4.9120 Å, 90.00 90.00 90.00°
Each line ends with the local moment (μB).
Fractional coordinates of all 5 atoms:
Th 0.5000 0.5000 0.5000  0.24
Pu 0.0000 0.0000 0.5000  4.95
Pu 0.0000 0.5000 0.0000  4.95
Pu 0.5000 0.0000 0.0000  4.95
C 0.0000 0.0000 0.0000  -0.27